No. 1
A plane-wave DFT calculation with PBE-GGA was carried out for crystalline Ac8Pd3RhBr4 at its relaxed geometry.

POSCAR file:
```
Ac8Pd3RhBr4
1.0
7.664 -4.425 0.000
7.664 4.425 0.000
-5.117 0.000 8.277
Ac Pd Rh Br
8 3 1 4
Direct
0.229 0.229 0.697
0.229 0.739 0.697
0.261 0.771 0.303
0.267 0.267 0.303
0.733 0.733 0.697
0.739 0.229 0.697
0.771 0.261 0.303
0.771 0.771 0.303
0.000 0.500 0.500
0.500 0.000 0.500
0.500 0.500 0.500
0.000 0.000 0.500
0.000 0.000 0.000
0.000 0.500 0.000
0.500 0.000 0.000
0.500 0.500 0.000
```

Summary:
space-group type: C2/m, No. 12
formation energy from raw total energies: -25.6 kcal/mol of atoms

---

No. 2
A plane-wave DFT calculation with PBE-GGA was carried out for crystalline Ac4PdRhBr2 at its relaxed geometry.

POSCAR file:
```
Ac4PdRhBr2
1.0
7.636 0.000 0.000
0.000 4.382 0.000
-2.573 0.000 8.297
Ac Pd Rh Br
4 1 1 2
Direct
0.225 0.000 0.195
0.261 0.500 0.804
0.739 0.500 0.196
0.775 0.000 0.805
0.500 0.000 0.000
0.000 0.500 0.000
0.000 0.000 0.500
0.500 0.500 0.500
```

Summary:
space-group type: P2/m, No. 10
formation energy from raw total energies: -26.1 kcal/mol of atoms

---

No. 3
A plane-wave DFT calculation with PBE-GGA was carried out for crystalline Ac6PdRh2Br3 at its relaxed geometry.

POSCAR file:
```
Ac6PdRh2Br3
1.0
3.786 -6.559 0.000
3.786 6.559 0.000
-2.519 0.000 8.308
Ac Pd Rh Br
6 1 2 3
Direct
0.093 0.435 0.804
0.223 0.223 0.196
0.435 0.093 0.804
0.565 0.907 0.196
0.777 0.777 0.804
0.907 0.565 0.196
0.500 0.500 0.000
0.167 0.833 0.000
0.833 0.167 0.000
0.000 0.000 0.500
0.332 0.668 0.500
0.668 0.332 0.500
```

Summary:
space-group type: C2/m, No. 12
formation energy from raw total energies: -26.5 kcal/mol of atoms

---

No. 4
A plane-wave DFT calculation with PBE-GGA was carried out for crystalline Ac6PdRh2Br2 at its relaxed geometry.

POSCAR file:
```
Ac6PdRh2Br2
1.0
3.818 -6.580 0.000
3.818 6.580 0.000
-2.506 0.000 7.979
Ac Pd Rh Br
6 1 2 2
Direct
0.091 0.428 0.798
0.220 0.220 0.203
0.428 0.091 0.798
0.572 0.909 0.202
0.780 0.780 0.797
0.909 0.572 0.202
0.500 0.500 0.000
0.170 0.830 0.000
0.830 0.170 0.000
0.334 0.666 0.500
0.666 0.334 0.500
```

Summary:
space-group type: C2/m, No. 12
formation energy from raw total energies: -22.0 kcal/mol of atoms

---

No. 5
A plane-wave DFT calculation with PBE-GGA was carried out for crystalline Ac6Pd2RuBr3 at its relaxed geometry.

POSCAR file:
```
Ac6Pd2RuBr3
1.0
10.448 -2.198 0.000
10.448 2.198 0.000
-3.529 0.000 9.071
Ac Pd Ru Br
6 2 1 3
Direct
0.009 0.009 0.211
0.324 0.324 0.445
0.351 0.351 0.895
0.649 0.649 0.105
0.676 0.676 0.555
0.991 0.991 0.789
0.168 0.168 0.336
0.832 0.832 0.664
0.500 0.500 0.000
0.165 0.165 0.830
0.500 0.500 0.500
0.835 0.835 0.170
```

Summary:
space-group type: C2/m, No. 12
formation energy from raw total energies: -24.0 kcal/mol of atoms

---

No. 6
A plane-wave DFT calculation with PBE-GGA was carried out for crystalline Ac8PdRu3Br4 at its relaxed geometry.

POSCAR file:
```
Ac8PdRu3Br4
1.0
4.325 2.497 8.315
-4.325 2.497 8.315
0.000 -4.994 8.315
Ac Pd Ru Br
8 1 3 4
Direct
0.221 0.737 0.737
0.232 0.232 0.232
0.263 0.263 0.779
0.263 0.779 0.263
0.737 0.221 0.737
0.737 0.737 0.221
0.768 0.768 0.768
0.779 0.263 0.263
0.500 0.500 0.500
0.000 0.000 0.500
0.000 0.500 0.000
0.500 0.000 0.000
0.000 0.000 0.000
0.000 0.500 0.500
0.500 0.000 0.500
0.500 0.500 0.000
```

Summary:
space-group type: R-3m, No. 166
formation energy from raw total energies: -21.5 kcal/mol of atoms

---

> Which formula does entry 3 have?

Ac6PdRh2Br3

---

> Which of these has the highest formation energy from raw total energies?

Ac8PdRu3Br4